5
Lattice="5.0484 0.0000 0.0000 0.0000 5.0484 0.0000 0.0000 0.0000 4.9543" Properties=species:S:1:pos:R:3 comment="Sc2TcTeAu (PBE, optimized geometry)" e_tot_ev_per_fu=-28.5 e_form_raw_ev_per_atom=0.188 pbc="T T T"
Sc 0.0000 2.5242 0.0000
Sc 2.5242 0.0000 0.0000
Tc 0.0000 0.0000 0.0000
Te 2.5242 2.5242 2.4771
Au 0.0000 0.0000 2.4771

---

29
Lattice="0.0000 9.2371 9.2371 9.2371 0.0000 9.2371 9.2371 9.2371 0.0000" Properties=species:S:1:pos:R:3 comment="K21Na2Hg6 (PBE, optimized geometry)" e_tot_ev_per_fu=-30.2 pbc="T T T"
K 0.0000 0.0000 0.0000
K 3.1586 3.1586 0.0000
K 6.0786 6.0786 0.0000
K 3.1586 0.0000 3.1586
K 9.2371 6.0786 3.1586
K 6.0786 0.0000 6.0786
K 9.2371 3.1586 6.0786
K 11.3980 7.0763 7.0763
K 0.0000 3.1586 3.1586
K 6.0786 9.2371 3.1586
K 6.0786 3.1586 9.2371
K 7.0763 7.0763 7.0763
K 11.3980 11.3980 7.0763
K 11.3980 7.0763 11.3980
K 7.0763 11.3980 7.0763
K 7.0763 7.0763 11.3980
K 11.3980 11.3980 11.3980
K 0.0000 6.0786 6.0786
K 3.1586 9.2371 6.0786
K 3.1586 6.0786 9.2371
K 7.0763 11.3980 11.3980
Na 4.6186 4.6186 4.6186
Na 13.8557 13.8557 13.8557
Hg 9.2371 9.2371 4.9152
Hg 9.2371 4.9152 9.2371
Hg 13.5591 9.2371 9.2371
Hg 4.9152 9.2371 9.2371
Hg 9.2371 13.5591 9.2371
Hg 9.2371 9.2371 13.5591

---

4
Lattice="1.9225 1.1100 7.5025 -1.9225 1.1100 7.5025 0.0000 -2.2199 7.5025" Properties=species:S:1:pos:R:3 comment="CdInAs2 (PBE, optimized geometry)" e_tot_ev_per_fu=-12.7 pbc="T T T"
Cd 0.0000 0.0000 0.0000
In 0.0000 0.0000 17.1357
As 0.0000 0.0000 5.5484
As 0.0000 0.0000 11.6377

---

Please write out number 1 again, unchanged.
5
Lattice="5.0484 0.0000 0.0000 0.0000 5.0484 0.0000 0.0000 0.0000 4.9543" Properties=species:S:1:pos:R:3 comment="Sc2TcTeAu (PBE, optimized geometry)" e_tot_ev_per_fu=-28.5 e_form_raw_ev_per_atom=0.188 pbc="T T T"
Sc 0.0000 2.5242 0.0000
Sc 2.5242 0.0000 0.0000
Tc 0.0000 0.0000 0.0000
Te 2.5242 2.5242 2.4771
Au 0.0000 0.0000 2.4771